Density functional theory data (PBE with a Hubbard U) for a geometry-optimized CdCoPO2 structure.

a b c (Å): 4.027 4.027 5.447
angles (deg): 90.00 90.00 90.00
Element x y z (fractional)
Cd  0.000  0.000  0.000
Co  0.500  0.500  0.500
P  0.000  0.000  0.500
O  0.000  0.500  0.000
O  0.500  0.000  0.000

Summary:
* SG: P4/mmm (123)
* VASP energy: -3.426 eV per atom